Entry from Alexandria: an optimized crystal structure of LiInGaBr3 (GGA-PBE).

The structure belongs to space group C2/c (No. 15); the cell edges are 7.406, 15.118 and 7.044 Å and the angles 90.00°, 108.70° and 90.00°. The inequivalent atoms are Li at (0.000, 0.053, 0.250), In at (0.000, 0.235, 0.750), Ga at (0.000, 0.427, 0.250), Br at (0.000, 0.224, 0.250) and Br at (0.227, 0.061, 0.995).

The calculation puts the total energy at -2.970 eV per atom. For the total magnetization, the calculation gives 0.0 μB/f.u. As for the formation energy from raw total energies: -82.4 kJ per mole of atoms.



Entry from Alexandria: an optimized crystal structure of CrAg2PdPb (GGA-PBE).

The structure belongs to space group P4/mmm (No. 123); the cell edges are 5.119, 5.119 and 4.740 Å and the angles 90.00°, 90.00° and 90.00°. The inequivalent atoms are Cr at (0.000, 0.000, 0.000), Ag at (0.000, 0.500, 0.500), Pd at (0.000, 0.000, 0.500) and Pb at (0.500, 0.500, 0.000).

The calculation puts the total energy at -4.179 eV per atom. For the total magnetization, the calculation gives 4.1 μB/f.u.



Entry from Alexandria: an optimized crystal structure of Cs3Al2Sb4 (GGA-PBE).

The structure belongs to space group C2/c (No. 15); the cell edges are 18.901, 13.645 and 6.632 Å and the angles 90.00°, 99.75° and 90.00°. The inequivalent atoms are Cs at (0.000, 0.143, 0.250), Cs at (0.153, 0.410, 0.486), Al at (0.225, 0.142, 0.960), Sb at (0.138, 0.296, 0.976) and Sb at (0.163, 0.008, 0.663).

The calculation puts the total energy at -3.204 eV per atom. For the total magnetization, the calculation gives 0.0 μB/f.u. As for the formation energy from raw total energies: -24.6 kJ per mole of atoms.



Entry from Alexandria: an optimized crystal structure of AlBiPb2 (GGA-PBE).

The structure belongs to space group Fm-3m (No. 225); the cell edges are 7.782, 7.782 and 7.782 Å and the angles 90.00°, 90.00° and 90.00°. The inequivalent atoms are Al at (0.000, 0.000, 0.000), Bi at (0.000, 0.000, 0.500) and Pb at (0.250, 0.250, 0.250).

The calculation puts the total energy at -3.548 eV per atom. For the total magnetization, the calculation gives 0.0 μB/f.u.



Entry from Alexandria: an optimized crystal structure of LiIrCl (GGA-PBE).

The structure belongs to space group P3m1 (No. 156); the cell edges are 2.7453, 2.7453 and 8.2419 Å and the angles 90.00°, 90.00° and 120.00°. The inequivalent atoms are Li at (0.0000, 0.0000, 0.0000), Ir at (0.6667, 0.3333, 0.7319) and Cl at (0.3333, 0.6667, 0.2123).

The calculation puts the total energy at -4.205 eV per atom. For the total magnetization, the calculation gives 0.5 μB/f.u. As for the formation energy from raw total energies: 0.3 kJ per mole of atoms.



Entry from Alexandria: an optimized crystal structure of K2InHgI5 (GGA-PBE).

The structure belongs to space group Cmc2_1 (No. 36); the cell edges are 5.743, 18.081 and 16.350 Å and the angles 90.00°, 90.00° and 90.00°. The inequivalent atoms are K at (0.000, 0.095, 0.000), K at (0.000, 0.141, 0.710), In at (0.000, 0.448, 0.714), Hg at (0.000, 0.228, 0.397), I at (0.000, 0.067, 0.251), I at (0.000, 0.280, 0.893), I at (0.000, 0.311, 0.599), I at (0.000, 0.411, 0.343) and I at (0.000, 0.447, 0.079).

The calculation puts the total energy at -2.260 eV per atom. For the total magnetization, the calculation gives 0.0 μB/f.u. As for the formation energy from raw total energies: -78.9 kJ per mole of atoms.